KTcAu after structural relaxation. Source: Alexandria via LeMat-Bulk, functional PBEsol.

a = 2.821 Å, b = 2.821 Å, c = 8.141 Å
α = 90.00°, β = 90.00°, γ = 120.00°
Fractional positions:
K  0.667  0.333  0.669
Tc  0.333  0.667  0.307
Au  0.000  0.000  0.024

Properties
Magnetic moment, μB/atom: 0.00
Space group: P3m1
Energy relative to the elements, eV/atom: 0.87

Cs2Zr2MnMo6O24 after structural relaxation. Source: Alexandria via LeMat-Bulk, functional PBEsol.

a = 8.550 Å, b = 8.822 Å, c = 8.800 Å
α = 99.67°, β = 99.52°, γ = 99.60°
Fractional positions:
O  0.159  0.167  0.675
O  0.652  0.022  0.843
O  0.014  0.827  0.634
O  0.782  0.389  0.460
O  0.348  0.978  0.157
O  0.666  0.156  0.187
O  0.334  0.844  0.813
O  0.070  0.588  0.813
O  0.521  0.192  0.622
O  0.179  0.666  0.159
O  0.930  0.412  0.187
O  0.426  0.196  0.943
O  0.821  0.334  0.841
O  0.841  0.833  0.325
O  0.168  0.355  0.983
O  0.196  0.938  0.413
O  0.479  0.808  0.378
O  0.604  0.544  0.204
O  0.396  0.456  0.796
O  0.574  0.804  0.057
O  0.218  0.611  0.540
O  0.986  0.173  0.366
O  0.804  0.062  0.587
O  0.832  0.645  0.017
Mo  0.838  0.285  0.302
Mo  0.697  0.156  0.722
Mo  0.292  0.295  0.845
Mo  0.708  0.705  0.155
Mo  0.162  0.715  0.698
Mo  0.303  0.844  0.278
Zr  0.000  0.000  0.500
Zr  0.000  0.500  0.000
Cs  0.644  0.679  0.673
Cs  0.356  0.321  0.327
Mn  0.500  0.000  0.000

Properties
Formation energy (no corrections), eV per atom: -2.246
Magnetic moment, μB/atom: 0.14
Space group: P-1

Sr2Hg after structural relaxation. Source: Alexandria via LeMat-Bulk, functional PBEsol.

a = 4.135 Å, b = 7.629 Å, c = 8.257 Å
α = 110.57°, β = 104.50°, γ = 90.00°
Fractional positions:
Sr  0.976  0.739  0.952
Sr  0.717  0.739  0.433
Sr  0.024  0.261  0.048
Sr  0.283  0.261  0.567
Hg  0.384  0.948  0.768
Hg  0.616  0.052  0.232

Properties
Magnetic moment, μB/atom: 0.00
Space group: C2/m
Energy relative to the elements, eV/atom: -0.37

Eu3Y after structural relaxation. Source: Alexandria via LeMat-Bulk, functional PBEsol.

a = 5.953 Å, b = 7.389 Å, c = 7.389 Å
α = 120.00°, β = 90.00°, γ = 90.00°
Fractional positions:
Eu  0.250  0.662  0.831
Eu  0.750  0.831  0.662
Eu  0.750  0.338  0.169
Eu  0.250  0.169  0.831
Eu  0.250  0.169  0.338
Eu  0.750  0.831  0.169
Y  0.250  0.667  0.333
Y  0.750  0.333  0.667

Properties
Magnetic moment, μB/atom: 5.60
Space group: P6_3/mmc
Energy relative to the elements, eV/atom: 0.06

ScH2Pt after structural relaxation. Source: Alexandria via LeMat-Bulk, functional PBEsol.

a = 3.866 Å, b = 3.866 Å, c = 3.866 Å
α = 60.00°, β = 60.00°, γ = 60.00°
Fractional positions:
H  0.250  0.250  0.250
H  0.750  0.750  0.750
Sc  0.000  0.000  0.000
Pt  0.500  0.500  0.500

Properties
Total DFT energy (no corrections), eV per cell: -21.209
Magnetic moment, μB/atom: 0.00
Space group: Fm-3m

Si2AgSb after structural relaxation. Source: Alexandria via LeMat-Bulk, functional PBEsol.

a = 3.539 Å, b = 4.002 Å, c = 6.039 Å
α = 109.40°, β = 107.08°, γ = 90.01°
Fractional positions:
Ag  0.502  0.502  0.004
Si  0.675  0.175  0.350
Si  0.017  0.017  0.035
Sb  0.306  0.806  0.612

Properties
Formation energy (no corrections), eV per atom: 0.315
Magnetic moment, μB/atom: 0.00
Space group: Imm2

ScMo2Br after structural relaxation. Source: Alexandria via LeMat-Bulk, functional PBEsol.

a = 3.077 Å, b = 4.499 Å, c = 5.202 Å
α = 90.00°, β = 90.00°, γ = 90.00°
Fractional positions:
Br  0.500  0.500  0.500
Mo  0.000  0.000  0.217
Mo  0.000  0.000  0.783
Sc  0.500  0.500  0.000

Properties
Formation energy (no corrections), eV per atom: 0.447
Magnetic moment, μB/atom: 0.00
Space group: Pmmm

GaMoNF2 after structural relaxation. Source: Alexandria via LeMat-Bulk, functional PBEsol.

a = 3.838 Å, b = 3.838 Å, c = 3.977 Å
α = 90.00°, β = 90.00°, γ = 90.00°
Fractional positions:
F  0.000  0.500  0.000
F  0.500  0.000  0.000
Ga  0.000  0.000  0.000
N  0.000  0.000  0.500
Mo  0.500  0.500  0.500

Properties
Formation energy (no corrections), eV per atom: -0.342
Magnetic moment, μB/atom: 0.80
Space group: P4/mmm

Rb2LiIrPd after structural relaxation. Source: Alexandria via LeMat-Bulk, functional PBEsol.

a = 4.731 Å, b = 6.331 Å, c = 6.331 Å
α = 90.00°, β = 90.00°, γ = 90.00°
Fractional positions:
Rb  0.000  0.500  0.000
Rb  0.000  0.000  0.500
Ir  0.000  0.000  0.000
Li  0.500  0.500  0.500
Pd  0.500  0.000  0.000

Properties
Magnetic moment, μB/atom: 0.00
Space group: P4/mmm
Energy relative to the elements, eV/atom: 0.86

Al2PbIF after structural relaxation. Source: Alexandria via LeMat-Bulk, functional PBEsol.

a = 4.441 Å, b = 5.485 Å, c = 5.485 Å
α = 90.00°, β = 90.00°, γ = 90.00°
Fractional positions:
F  0.500  0.000  0.000
Al  0.000  0.000  0.500
Al  0.000  0.500  0.000
Pb  0.500  0.500  0.500
I  0.000  0.000  0.000

Properties
Formation energy (no corrections), eV per atom: 0.246
Magnetic moment, μB/atom: 0.00
Space group: P4/mmm

LaMn2Fe after structural relaxation. Source: Alexandria via LeMat-Bulk, functional PBEsol.

a = 3.936 Å, b = 3.936 Å, c = 4.203 Å
α = 90.00°, β = 90.00°, γ = 90.00°
Fractional positions:
La  0.000  0.000  0.500
Mn  0.500  0.000  0.000
Mn  0.000  0.500  0.000
Fe  0.500  0.500  0.500

Properties
Magnetic moment, μB/atom: 2.12
Space group: P4/mmm
Energy relative to the elements, eV/atom: 0.59

CuHgAs2 after structural relaxation. Source: Alexandria via LeMat-Bulk, functional PBEsol.

a = 3.013 Å, b = 3.013 Å, c = 9.240 Å
α = 80.62°, β = 80.62°, γ = 60.00°
Fractional positions:
Hg  0.760  0.760  0.719
As  0.996  0.996  0.013
As  0.238  0.238  0.285
Cu  0.506  0.506  0.483

Properties
Magnetic moment, μB/atom: 0.00
Space group: R3m
Energy relative to the elements, eV/atom: 0.30

BaP2N2 after structural relaxation. Source: Alexandria via LeMat-Bulk, functional PBEsol.

a = 3.225 Å, b = 6.984 Å, c = 6.984 Å
α = 90.00°, β = 90.00°, γ = 90.00°
Fractional positions:
N  0.000  0.122  0.378
N  0.000  0.622  0.122
N  0.000  0.878  0.622
N  0.000  0.378  0.878
Ba  0.000  0.500  0.500
Ba  0.000  0.000  0.000
P  0.500  0.399  0.101
P  0.500  0.601  0.899
P  0.500  0.101  0.601
P  0.500  0.899  0.399

Properties
Formation energy (no corrections), eV per atom: 0.720
Magnetic moment, μB/atom: 0.03
Space group: P4/mbm

ScIrRh2 after structural relaxation. Source: Alexandria via LeMat-Bulk, functional PBEsol.

a = 2.808 Å, b = 4.656 Å, c = 4.656 Å
α = 107.22°, β = 90.00°, γ = 90.00°
Fractional positions:
Rh  0.000  0.000  0.500
Rh  0.000  0.500  0.000
Sc  0.500  0.000  0.000
Ir  0.500  0.500  0.500

Properties
Magnetic moment, μB/atom: 0.00
Space group: Cmmm
Energy relative to the elements, eV/atom: -0.53

SnTe after structural relaxation. Source: Alexandria via LeMat-Bulk, functional PBEsol.

a = 4.442 Å, b = 4.442 Å, c = 4.442 Å
α = 60.00°, β = 60.00°, γ = 60.00°
Fractional positions:
Te  0.489  0.489  0.532
Sn  0.990  0.990  0.031

Properties
Formation energy (no corrections), eV per atom: -0.277
Magnetic moment, μB/atom: 0.00
Space group: Fm-3m

SrMg2Cd after structural relaxation. Source: Alexandria via LeMat-Bulk, functional PBEsol.

a = 5.300 Å, b = 5.298 Å, c = 5.298 Å
α = 60.00°, β = 59.99°, γ = 59.99°
Fractional positions:
Sr  0.500  0.500  0.500
Cd  0.750  0.750  0.750
Mg  0.250  0.250  0.250
Mg  0.000  0.000  0.000

Properties
Magnetic moment, μB/atom: 0.00
Space group: F-43m
Energy relative to the elements, eV/atom: -0.14

PS2BrN after structural relaxation. Source: Alexandria via LeMat-Bulk, functional PBEsol.

a = 3.284 Å, b = 4.756 Å, c = 4.756 Å
α = 90.00°, β = 90.00°, γ = 90.00°
Fractional positions:
S  0.000  0.000  0.500
S  0.000  0.500  0.000
N  0.500  0.000  0.000
P  0.000  0.000  0.000
Br  0.500  0.500  0.500

Properties
Formation energy (no corrections), eV per atom: 0.691
Magnetic moment, μB/atom: 0.00
Space group: P4/mmm

LiCa3 after structural relaxation. Source: Alexandria via LeMat-Bulk, functional PBEsol.

a = 3.804 Å, b = 3.804 Å, c = 11.963 Å
α = 80.85°, β = 80.85°, γ = 60.00°
Fractional positions:
Li  0.000  0.000  0.000
Ca  0.744  0.744  0.768
Ca  0.256  0.256  0.232
Ca  0.500  0.500  0.500

Properties
Magnetic moment, μB/atom: 0.00
Space group: R-3m
Energy relative to the elements, eV/atom: 0.06

CsCdInAg2 after structural relaxation. Source: Alexandria via LeMat-Bulk, functional PBEsol.

a = 5.298 Å, b = 5.298 Å, c = 6.495 Å
α = 90.00°, β = 90.00°, γ = 90.00°
Fractional positions:
Cd  0.500  0.500  0.500
Ag  0.000  0.500  0.000
Ag  0.500  0.000  0.000
Cs  0.000  0.000  0.500
In  0.000  0.000  0.000

Properties
Magnetic moment, μB/atom: 0.00
Space group: P4/mmm
Energy relative to the elements, eV/atom: 0.49

Mg8Al4Cu2Si7 after structural relaxation. Source: Alexandria via LeMat-Bulk, functional PBEsol.

a = 3.969 Å, b = 10.292 Å, c = 10.337 Å
α = 119.44°, β = 90.00°, γ = 90.00°
Fractional positions:
Mg  0.500  0.524  0.145
Mg  0.000  0.745  0.748
Mg  0.500  0.859  0.378
Mg  0.500  0.622  0.483
Mg  0.000  0.252  0.999
Mg  0.500  0.202  0.195
Mg  0.500  0.000  0.799
Mg  0.500  0.798  0.004
Cu  0.000  0.669  0.338
Cu  0.500  0.314  0.646
Si  0.500  0.126  0.406
Si  0.500  0.563  0.712
Si  0.500  0.299  0.860
Si  0.000  0.996  0.002
Si  0.000  0.423  0.297
Si  0.000  0.716  0.139
Si  0.000  0.877  0.580
Al  0.000  0.155  0.659
Al  0.000  0.999  0.245
Al  0.000  0.354  0.504
Al  0.000  0.507  0.860

Properties
Formation energy (no corrections), eV per atom: -0.067
Magnetic moment, μB/atom: 0.00
Space group: Pm